A plane-wave DFT calculation with PBE+U was carried out for a relaxed structure of VTcOF2.

Cell lengths 4.144, 4.144, 3.862 Å; angles 90.00, 90.00, 90.00 degrees
Element x y z (fractional)
V 0.000 0.000 0.000
Tc 0.500 0.500 0.500
O 0.000 0.000 0.500
F 0.000 0.500 0.000
F 0.500 0.000 0.000

Properties
VASP energy ... -31.12 eV per cell


A plane-wave DFT calculation with PBE+U was carried out for a relaxed structure of VTcOF2.

Cell lengths 4.317, 4.317, 3.766 Å; angles 90.00, 90.00, 90.00 degrees
Element x y z (fractional)
V 0.000 0.000 0.000
Tc 0.500 0.500 0.500
O 0.500 0.500 0.000
F 0.000 0.500 0.500
F 0.500 0.000 0.500

Properties
VASP energy ... -28.83 eV per cell


A plane-wave DFT calculation with PBE+U was carried out for a relaxed structure of VTcO2F.

Cell lengths 3.807, 3.807, 4.676 Å; angles 90.00, 90.00, 90.00 degrees
Element x y z (fractional)
V 0.000 0.000 0.000
Tc 0.500 0.500 0.500
O 0.000 0.500 0.500
O 0.500 0.000 0.500
F 0.500 0.500 0.000

Properties
VASP energy ... -32.97 eV per cell